## MgAl5 (GGA-PBE)

Data for a relaxed MgAl5 crystal.

- E: -19.8 eV/cell

Unit cell a=7.674 b=7.674 c=3.076 alpha=90.00 beta=90.00 gamma=143.76
Fractional coordinates of all 6 atoms:
Mg  0.000  0.000  0.000
Al  0.182  0.818  0.500
Al  0.344  0.656  0.000
Al  0.500  0.500  0.500
Al  0.656  0.344  0.000
Al  0.818  0.182  0.500

=====

## Mg3Al (GGA-PBE)

Data for a relaxed Mg3Al crystal.

- E: -8.4 eV/cell

Unit cell a=3.194 b=4.975 c=5.293 alpha=90.00 beta=90.00 gamma=90.00
Fractional coordinates of all 4 atoms:
Mg  0.000  0.000  0.000
Mg  0.000  0.500  0.343
Mg  0.500  0.000  0.509
Al  0.500  0.500  0.843

=====

## MgAl (GGA-PBE)

Data for a relaxed MgAl crystal.

- E: -5.2 eV/cell

Unit cell a=3.395 b=3.395 c=3.395 alpha=90.00 beta=90.00 gamma=90.00
Fractional coordinates of all 2 atoms:
Mg  0.000  0.000  0.000
Al  0.500  0.500  0.500

=====

## MgAl (GGA-PBE)

Data for a relaxed MgAl crystal.

- E: -42.1 eV/cell

Unit cell a=10.484 b=4.890 c=6.049 alpha=90.00 beta=90.00 gamma=90.00
Fractional coordinates of all 16 atoms:
Mg  0.085  0.250  0.003
Mg  0.172  0.750  0.252
Mg  0.328  0.250  0.752
Mg  0.415  0.750  0.503
Mg  0.585  0.250  0.497
Mg  0.672  0.750  0.248
Mg  0.828  0.250  0.748
Mg  0.915  0.750  0.997
Al  0.081  0.250  0.505
Al  0.159  0.750  0.746
Al  0.341  0.250  0.246
Al  0.419  0.750  0.005
Al  0.581  0.250  0.995
Al  0.659  0.750  0.754
Al  0.841  0.250  0.254
Al  0.919  0.750  0.495

=====

## Mg6Al (GGA-PBE)

Data for a relaxed Mg6Al crystal.

- E: -7.0 eV/cell

Unit cell a=7.005 b=7.005 c=7.005 alpha=109.47 beta=109.47 gamma=109.47
Fractional coordinates of all 7 atoms:
Mg  0.250  0.500  0.750
Mg  0.250  0.750  0.500
Mg  0.500  0.250  0.750
Mg  0.500  0.750  0.250
Mg  0.750  0.250  0.500
Mg  0.750  0.500  0.250
Al  0.000  0.000  0.000

=====

## MgAl3 (GGA-PBE)

Data for a relaxed MgAl3 crystal.

- E: -12.7 eV/cell

Unit cell a=2.879 b=4.872 c=5.120 alpha=90.00 beta=90.00 gamma=90.00
Fractional coordinates of all 4 atoms:
Mg  0.000  0.000  0.000
Al  0.000  0.500  0.666
Al  0.500  0.000  0.499
Al  0.500  0.500  0.185

=====

## Mg4Al (GGA-PBE)

Data for a relaxed Mg4Al crystal.

- Energy relative to the lowest polymorph listed for this composition: 0.372 eV/atom

Unit cell a=5.218 b=5.218 c=5.218 alpha=90.00 beta=90.00 gamma=90.00
Fractional coordinates of all 5 atoms:
Mg  0.000  0.000  0.000
Mg  0.000  0.500  0.500
Mg  0.500  0.000  0.500
Mg  0.500  0.500  0.000
Al  0.500  0.500  0.500

=====

## MgAl (GGA-PBE)

Data for a relaxed MgAl crystal.

- E: -30.8 eV/cell

Unit cell a=7.894 b=7.894 c=4.694 alpha=90.00 beta=90.00 gamma=120.00
Fractional coordinates of all 12 atoms:
Mg  0.088  0.270  0.250
Mg  0.182  0.912  0.250
Mg  0.270  0.182  0.750
Mg  0.730  0.818  0.250
Mg  0.818  0.088  0.750
Mg  0.912  0.730  0.750
Al  0.105  0.508  0.750
Al  0.403  0.895  0.750
Al  0.492  0.597  0.750
Al  0.508  0.403  0.250
Al  0.597  0.105  0.250
Al  0.895  0.492  0.250

=====

no.,spin magnetization (μB/f.u.)
1,0.0
2,0.0
3,0.0
4,0.0
5,0.0
6,0.0
7,0.0
8,0.0